Entry 1:
First-principles (PBE-GGA) data for a relaxed structure of Zr2AgMo, as listed in the Alexandria database.

Calculated values
The calculation puts the calculated volume at 235.6 Å³ per cell. The raw total energy is -89.1 eV per cell. The energy of formation comes out at 0.27 eV per atom.

Structure (CIF):
```
data_Zr2AgMo
_symmetry_space_group_name_H-M 'R -3 m'
_symmetry_Int_Tables_number 166
_symmetry_space_group_name_Hall '-R 3 2"'
_cell_length_a 2.9724
_cell_length_b 2.9724
_cell_length_c 30.7864
_cell_angle_alpha 90.00
_cell_angle_beta 90.00
_cell_angle_gamma 120.00
loop_
_atom_site_label
_atom_site_fract_x
_atom_site_fract_y
_atom_site_fract_z
_atom_site_occupancy
Zr1 0.0000 0.0000 0.2491 1
Ag1 0.0000 0.0000 0.0000 1
Mo1 0.0000 0.0000 0.5000 1
```

---

Entry 2:
First-principles (PBE-GGA) data for a relaxed structure of Zr2AgMo, as listed in the Alexandria database.

Calculated values
The calculation puts the calculated volume at 78.3 Å³ per cell. The raw total energy is -30.0 eV per cell. The energy of formation comes out at 0.21 eV per atom.

Structure (CIF):
```
data_Zr2AgMo
_symmetry_space_group_name_H-M 'P 4 m m'
_symmetry_Int_Tables_number 99
_symmetry_space_group_name_Hall 'P 4 -2'
_cell_length_a 3.506
_cell_length_b 3.506
_cell_length_c 6.369
_cell_angle_alpha 90.00
_cell_angle_beta 90.00
_cell_angle_gamma 90.00
loop_
_atom_site_label
_atom_site_fract_x
_atom_site_fract_y
_atom_site_fract_z
_atom_site_occupancy
Zr1 0.000 0.000 0.000 1
Zr2 0.500 0.500 0.283 1
Ag1 0.000 0.000 0.531 1
Mo1 0.500 0.500 0.787 1
```

---

Entry 3:
First-principles (PBE-GGA) data for a relaxed structure of Zr2AgMo, as listed in the Alexandria database.

Calculated values
The calculation puts the calculated volume at 335.9 Å³ per cell. The raw total energy is -111.8 eV per cell. The energy of formation comes out at 0.71 eV per atom.

Structure (CIF):
```
data_Zr2AgMo
_symmetry_space_group_name_H-M 'I -4 2 d'
_symmetry_Int_Tables_number 122
_symmetry_space_group_name_Hall 'I -4 2bw'
_cell_length_a 4.162
_cell_length_b 4.162
_cell_length_c 19.389
_cell_angle_alpha 90.00
_cell_angle_beta 90.00
_cell_angle_gamma 90.00
loop_
_atom_site_label
_atom_site_fract_x
_atom_site_fract_y
_atom_site_fract_z
_atom_site_occupancy
Zr1 0.238 0.250 0.125 1
Ag1 0.000 0.000 0.500 1
Mo1 0.000 0.000 0.000 1
```

---

Entry 4:
First-principles (PBE-GGA) data for a relaxed structure of ZrAgMo2, as listed in the Alexandria database.

Calculated values
The calculation puts the calculated volume at 142.4 Å³ per cell. The raw total energy is -63.3 eV per cell. The energy of formation comes out at 0.35 eV per atom.

Structure (CIF):
```
data_ZrAgMo2
_symmetry_space_group_name_H-M 'C 1 m 1'
_symmetry_Int_Tables_number 8
_symmetry_space_group_name_Hall 'C -2y'
_cell_length_a 9.644
_cell_length_b 2.718
_cell_length_c 5.445
_cell_angle_alpha 90.00
_cell_angle_beta 93.94
_cell_angle_gamma 90.00
loop_
_atom_site_label
_atom_site_fract_x
_atom_site_fract_y
_atom_site_fract_z
_atom_site_occupancy
Zr1 0.000 0.000 0.000 1
Ag1 0.253 0.000 0.761 1
Mo1 0.013 0.500 0.489 1
Mo2 0.255 0.500 0.281 1
```

---

Entry 5:
First-principles (PBE-GGA) data for a relaxed structure of ZrAg2Mo, as listed in the Alexandria database.

Calculated values
The calculation puts the calculated volume at 146.5 Å³ per cell. The raw total energy is -47.7 eV per cell. The energy of formation comes out at 0.31 eV per atom.

Structure (CIF):
```
data_ZrAg2Mo
_symmetry_space_group_name_H-M 'C 1 m 1'
_symmetry_Int_Tables_number 8
_symmetry_space_group_name_Hall 'C -2y'
_cell_length_a 9.708
_cell_length_b 2.868
_cell_length_c 5.337
_cell_angle_alpha 90.00
_cell_angle_beta 99.80
_cell_angle_gamma 90.00
loop_
_atom_site_label
_atom_site_fract_x
_atom_site_fract_y
_atom_site_fract_z
_atom_site_occupancy
Zr1 0.000 0.000 0.000 1
Ag1 0.010 0.500 0.509 1
Ag2 0.258 0.500 0.276 1
Mo1 0.259 0.000 0.767 1
```

---

Entry 6:
First-principles (PBE-GGA) data for a relaxed structure of ZrAg2Mo, as listed in the Alexandria database.

Calculated values
The calculation puts the calculated volume at 74.4 Å³ per cell. The raw total energy is -24.1 eV per cell. The energy of formation comes out at 0.25 eV per atom.

Structure (CIF):
```
data_ZrAg2Mo
_symmetry_space_group_name_H-M 'P 4 m m'
_symmetry_Int_Tables_number 99
_symmetry_space_group_name_Hall 'P 4 -2'
_cell_length_a 3.459
_cell_length_b 3.459
_cell_length_c 6.215
_cell_angle_alpha 90.00
_cell_angle_beta 90.00
_cell_angle_gamma 90.00
loop_
_atom_site_label
_atom_site_fract_x
_atom_site_fract_y
_atom_site_fract_z
_atom_site_occupancy
Zr1 0.000 0.000 0.000 1
Ag1 0.000 0.000 0.514 1
Ag2 0.500 0.500 0.277 1
Mo1 0.500 0.500 0.765 1
```

---

Entry 7:
First-principles (PBE-GGA) data for a relaxed structure of Zr2AgMo, as listed in the Alexandria database.

Calculated values
The calculation puts the calculated volume at 235.1 Å³ per cell. The raw total energy is -88.1 eV per cell. The energy of formation comes out at 0.35 eV per atom.

Structure (CIF):
```
data_Zr2AgMo
_symmetry_space_group_name_H-M 'R 3 m'
_symmetry_Int_Tables_number 160
_symmetry_space_group_name_Hall 'R 3 -2"'
_cell_length_a 2.9420
_cell_length_b 2.9420
_cell_length_c 31.3614
_cell_angle_alpha 90.00
_cell_angle_beta 90.00
_cell_angle_gamma 120.00
loop_
_atom_site_label
_atom_site_fract_x
_atom_site_fract_y
_atom_site_fract_z
_atom_site_occupancy
Zr1 0.0000 0.0000 0.0000 1
Zr2 0.0000 0.0000 0.2420 1
Ag1 0.0000 0.0000 0.7494 1
Mo1 0.0000 0.0000 0.4928 1
```

---

Entry 8:
First-principles (PBE-GGA) data for a relaxed structure of Zr2AgMo2, as listed in the Alexandria database.

Calculated values
The calculation puts the calculated volume at 198.4 Å³ per cell. The raw total energy is -80.8 eV per cell. The energy of formation comes out at 0.24 eV per atom.

Structure (CIF):
```
data_Zr2AgMo2
_symmetry_space_group_name_H-M 'P 4/m b m'
_symmetry_Int_Tables_number 127
_symmetry_space_group_name_Hall '-P 4 2ab'
_cell_length_a 7.273
_cell_length_b 7.273
_cell_length_c 3.751
_cell_angle_alpha 90.00
_cell_angle_beta 90.00
_cell_angle_gamma 90.00
loop_
_atom_site_label
_atom_site_fract_x
_atom_site_fract_y
_atom_site_fract_z
_atom_site_occupancy
Zr1 0.179 0.321 0.000 1
Ag1 0.000 0.000 0.500 1
Mo1 0.116 0.616 0.500 1
```

---

Entry 9:
First-principles (PBE-GGA) data for a relaxed structure of Zr4AgMo, as listed in the Alexandria database.

Calculated values
The calculation puts the calculated volume at 510.4 Å³ per cell. The raw total energy is -176.7 eV per cell. The energy of formation comes out at 0.62 eV per atom.

Structure (CIF):
```
data_Zr4AgMo
_symmetry_space_group_name_H-M 'F -4 3 m'
_symmetry_Int_Tables_number 216
_symmetry_space_group_name_Hall 'F -4 2 3'
_cell_length_a 7.992
_cell_length_b 7.992
_cell_length_c 7.992
_cell_angle_alpha 90.00
_cell_angle_beta 90.00
_cell_angle_gamma 90.00
loop_
_atom_site_label
_atom_site_fract_x
_atom_site_fract_y
_atom_site_fract_z
_atom_site_occupancy
Zr1 0.123 0.123 0.377 1
Ag1 0.000 0.000 0.000 1
Mo1 0.250 0.250 0.750 1
```

---

Entry 10:
First-principles (PBE-GGA) data for a relaxed structure of ZrAgMo2, as listed in the Alexandria database.

Calculated values
The calculation puts the calculated volume at 72.3 Å³ per cell. The raw total energy is -32.5 eV per cell. The energy of formation comes out at 0.13 eV per atom.

Structure (CIF):
```
data_ZrAgMo2
_symmetry_space_group_name_H-M 'P 4 m m'
_symmetry_Int_Tables_number 99
_symmetry_space_group_name_Hall 'P 4 -2'
_cell_length_a 3.239
_cell_length_b 3.239
_cell_length_c 6.888
_cell_angle_alpha 90.00
_cell_angle_beta 90.00
_cell_angle_gamma 90.00
loop_
_atom_site_label
_atom_site_fract_x
_atom_site_fract_y
_atom_site_fract_z
_atom_site_occupancy
Zr1 0.000 0.000 0.000 1
Ag1 0.500 0.500 0.284 1
Mo1 0.000 0.000 0.547 1
Mo2 0.500 0.500 0.746 1
```

---

Entry 11:
First-principles (PBE-GGA) data for a relaxed structure of ZrAgMo2, as listed in the Alexandria database.

Calculated values
The calculation puts the calculated volume at 71.4 Å³ per cell. The raw total energy is -31.7 eV per cell. The energy of formation comes out at 0.33 eV per atom.

Structure (CIF):
```
data_ZrAgMo2
_symmetry_space_group_name_H-M 'P m m 2'
_symmetry_Int_Tables_number 25
_symmetry_space_group_name_Hall 'P 2 -2'
_cell_length_a 2.726
_cell_length_b 4.310
_cell_length_c 6.075
_cell_angle_alpha 90.00
_cell_angle_beta 90.00
_cell_angle_gamma 90.00
loop_
_atom_site_label
_atom_site_fract_x
_atom_site_fract_y
_atom_site_fract_z
_atom_site_occupancy
Zr1 0.000 0.000 0.000 1
Ag1 0.500 0.500 0.255 1
Mo1 0.000 0.000 0.512 1
Mo2 0.500 0.500 0.727 1
```

---

Entry 12:
First-principles (PBE-GGA) data for a relaxed structure of Zr2AgMo, as listed in the Alexandria database.

Calculated values
The calculation puts the calculated volume at 157.2 Å³ per cell. The raw total energy is -61.4 eV per cell. The energy of formation comes out at 0.02 eV per atom.

Structure (CIF):
```
data_Zr2AgMo
_symmetry_space_group_name_H-M 'C m m m'
_symmetry_Int_Tables_number 65
_symmetry_space_group_name_Hall '-C 2 2'
_cell_length_a 3.541
_cell_length_b 4.889
_cell_length_c 9.079
_cell_angle_alpha 90.00
_cell_angle_beta 90.00
_cell_angle_gamma 90.00
loop_
_atom_site_label
_atom_site_fract_x
_atom_site_fract_y
_atom_site_fract_z
_atom_site_occupancy
Zr1 0.000 0.000 0.235 1
Ag1 0.000 0.500 0.500 1
Mo1 0.000 0.500 0.000 1
```

---

Mass density (computed, g/cm3): 8.168, 8.192, 7.639, 9.119, 9.136, 8.998, 8.185, 8.071, 7.401, 8.984, 9.098, 8.163